1.
! SmB6Ru6 PBE optimized geometry; values from VASP
&SYSTEM
  ibrav = 0, nat = 13, ntyp = 3
/
ATOMIC_SPECIES
Sm 150.36 Sm.upf
B 10.81 B.upf
Ru 101.07 Ru.upf
CELL_PARAMETERS angstrom
-2.3747 3.7689 4.0262
2.3747 -3.7689 4.0262
2.3747 3.7689 -4.0262
ATOMIC_POSITIONS angstrom
Sm 0.0000 0.0000 0.0000
B 1.1874 1.8844 -2.0131
B 1.1874 -1.8844 2.0131
B 2.3747 1.7690 0.0000
B -1.1874 1.8844 2.0131
B 1.1874 1.8844 2.0131
B 0.0000 1.9999 4.0262
Ru 2.3747 0.0000 1.5218
Ru 0.0000 2.5151 0.0000
Ru 0.0000 0.0000 2.7683
Ru 0.0000 0.0000 5.2841
Ru 0.0000 5.0227 0.0000
Ru 0.0000 3.7689 2.5044
! N(E_F) in states/eV/f.u.: 7.51
! Formation enthalpy at 0 K in eV/atom: 0.199
! SG: No. 71
! E in eV per atom: -7.527

2.
! Ag2MoW PBE optimized geometry; values from VASP
&SYSTEM
  ibrav = 0, nat = 8, ntyp = 3
/
ATOMIC_SPECIES
Ag 107.87 Ag.upf
Mo 95.94 Mo.upf
W 183.84 W.upf
CELL_PARAMETERS angstrom
-3.7365 3.7365 2.5997
3.7365 -3.7365 2.5997
3.7365 3.7365 -2.5997
ATOMIC_POSITIONS angstrom
Ag 5.6048 1.8455 -0.6499
Ag 1.8455 1.8683 0.6499
Ag -1.8683 1.8910 1.9498
Ag 1.8910 1.8683 3.2496
Mo 3.7365 0.0000 1.2998
Mo 0.0000 0.0000 2.5997
W 0.0000 0.0000 0.0000
W 0.0000 3.7365 1.2998
! N(E_F) in states/eV/f.u.: 3.10
! Formation enthalpy at 0 K in eV/atom: 1.293
! SG: No. 122
! E in eV per atom: -6.079

3.
! Y8HgTe4Se3 PBE optimized geometry; values from VASP
&SYSTEM
  ibrav = 0, nat = 16, ntyp = 4
/
ATOMIC_SPECIES
Y 88.91 Y.upf
Hg 200.59 Hg.upf
Te 127.60 Te.upf
Se 78.96 Se.upf
CELL_PARAMETERS angstrom
4.2399 2.4479 7.0488
-4.2399 2.4479 7.0488
0.0000 -4.8958 7.0488
ATOMIC_POSITIONS angstrom
Y 0.0000 0.0000 5.0556
Y -2.1311 -1.2304 12.1710
Y 0.0000 -2.4608 8.9752
Y -2.1311 1.2304 8.9752
Y 2.1311 -1.2304 12.1710
Y 0.0000 2.4608 12.1710
Y 2.1311 1.2304 8.9752
Y 0.0000 0.0000 16.0906
Hg 0.0000 0.0000 10.5731
Te 0.0000 0.0000 0.0000
Te -2.1200 -1.2240 7.0488
Te -2.1200 1.2240 14.0975
Te 0.0000 2.4479 7.0487
Se -4.2399 0.0000 10.5731
Se -2.1200 1.2240 3.5244
Se 2.1200 1.2240 3.5244
! N(E_F) in states/eV/f.u.: 8.79
! Formation energy without anion corrections in meV per atom: -1401
! SG: No. 166
! E in eV per atom: -6.090

4.
! CaRh PBE optimized geometry; values from VASP
&SYSTEM
  ibrav = 0, nat = 2, ntyp = 2
/
ATOMIC_SPECIES
Ca 40.08 Ca.upf
Rh 102.91 Rh.upf
CELL_PARAMETERS angstrom
0.0000 3.0615 3.0615
3.0615 0.0000 3.0615
3.0615 3.0615 0.0000
ATOMIC_POSITIONS angstrom
Ca 0.0000 0.0000 0.0000
Rh 4.5922 4.5922 4.5922
! N(E_F) in states/eV/f.u.: 2.13
! Formation enthalpy at 0 K in eV/atom: 0.783
! SG: No. 216
! E in eV per atom: -3.893

5.
! SrLaBi2O PBE optimized geometry; values from VASP
&SYSTEM
  ibrav = 0, nat = 5, ntyp = 4
/
ATOMIC_SPECIES
Sr 87.62 Sr.upf
La 138.91 La.upf
Bi 208.98 Bi.upf
O 16.00 O.upf
CELL_PARAMETERS angstrom
6.6076 0.0000 0.0000
0.0000 6.6076 0.0000
0.0000 0.0000 4.2028
ATOMIC_POSITIONS angstrom
Sr 0.0000 0.0000 0.0000
La 3.3038 3.3038 2.1014
Bi 0.0000 3.3038 2.1014
Bi 3.3038 0.0000 2.1014
O 3.3038 3.3038 0.0000
! N(E_F) in states/eV/f.u.: 4.59
! Formation energy without anion corrections in meV per atom: -1004
! SG: No. 123
! E in eV per atom: -4.869

6.
! BIr PBE optimized geometry; values from VASP
&SYSTEM
  ibrav = 0, nat = 4, ntyp = 2
/
ATOMIC_SPECIES
B 10.81 B.upf
Ir 192.22 Ir.upf
CELL_PARAMETERS angstrom
3.3736 0.0000 0.0000
-1.6868 2.9216 0.0000
0.0000 0.0000 5.4452
ATOMIC_POSITIONS angstrom
B 0.0000 1.9477 0.0000
B 1.6868 0.9739 2.7226
Ir 0.0000 1.9477 2.0443
Ir 1.6868 0.9739 4.7669
! N(E_F) in states/eV/f.u.: 0.35
! Formation enthalpy at 0 K in eV/atom: 0.156
! SG: No. 186
! E in eV per atom: -7.613